Below is a relaxed structure of TbGdPd, with properties calculated at the PBE level.

Calculated values
Symmetry ... F-43m
V ... 84.1 Å³ per cell
E_form ... -0.45 eV/atom
Raw total energy ... -8.421 eV/atom
DOS at the Fermi energy ... 3.490 states/eV per cell
E above lowest polymorph ... 0.086 eV per atom

```
data_TbGdPd
_chemical_formula_sum 'Tb1 Gd1 Pd1'
_symmetry_space_group_name_H-M 'P 1'
_symmetry_Int_Tables_number 1
_symmetry_space_group_name_Hall 'P 1'
_cell_length_a 4.9177
_cell_length_b 4.9177
_cell_length_c 4.9177
_cell_angle_alpha 60.00
_cell_angle_beta 60.00
_cell_angle_gamma 60.00
loop_
_atom_site_label
_atom_site_fract_x
_atom_site_fract_y
_atom_site_fract_z
Gd1 0.0000 0.0000 0.0000
Tb1 0.5000 0.5000 0.5000
Pd1 0.2500 0.2500 0.2500
```